YSiCl2: relaxed, PBEsol.

The structure in CIF format:
```
data_YSiCl2
_symmetry_space_group_name_H-M 'F -4 3 m'
_symmetry_Int_Tables_number 216
_symmetry_space_group_name_Hall 'F -4 2 3'
_cell_length_a 7.003
_cell_length_b 7.003
_cell_length_c 7.003
_cell_angle_alpha 90.00
_cell_angle_beta 90.00
_cell_angle_gamma 90.00
loop_
_atom_site_label
_atom_site_type_symbol
_atom_site_fract_x
_atom_site_fract_y
_atom_site_fract_z
Y1 Y 0.000 0.000 0.000
Si1 Si 0.250 0.250 0.750
Cl1 Cl 0.000 0.000 0.500
Cl2 Cl 0.250 0.250 0.250
```

The value obtained for the uncorrected formation energy is -10.3 kcal/mol of atoms. The calculation puts the size of the total moment at 10.45 μB per cell. As for the energy above the lowest structure with this stoichiometry: 391 meV/atom.

---

MnTc2: relaxed, PBEsol.

The structure in CIF format:
```
data_MnTc2
_symmetry_space_group_name_H-M 'I m m m'
_symmetry_Int_Tables_number 71
_symmetry_space_group_name_Hall '-I 2 2'
_cell_length_a 2.645
_cell_length_b 3.697
_cell_length_c 7.926
_cell_angle_alpha 90.00
_cell_angle_beta 90.00
_cell_angle_gamma 90.00
loop_
_atom_site_label
_atom_site_type_symbol
_atom_site_fract_x
_atom_site_fract_y
_atom_site_fract_z
Mn1 Mn 0.000 0.000 0.000
Tc1 Tc 0.000 0.000 0.338
```

The calculation puts the size of the total moment at 1.03 μB per cell. The formation energy comes out at 0.130 eV/atom. As for the energy above the lowest structure with this stoichiometry: 130 meV/atom.